This record from Alexandria via LeMat-Bulk describes an optimized crystal structure of LiMnCu2. The functional is PBE-GGA.

abc: 2.4246 2.4246 8.0902
angles: 90.00 90.00 90.00
Each line ends with the local moment (μB).
Sites, in units of the cell vectors:
Mn (0.5000, 0.5000, 0.7500)  0.51
Li (0.5000, 0.5000, 0.2500)  -0.01
Cu (0.0000, 0.0000, 0.5087)  0.00
Cu (0.0000, 0.0000, 0.9913)  0.00

Calculated values
spin magnetization	0.12	μB/atom
ΔH_f (0 K)	0.17	eV per atom
E_tot	-18.607	eV per cell
volume	47.6	Å³ per cell
energy above the lowest structure with this stoichiometry	8.9	kJ per mole of atoms